Density functional theory data (PBE) for an optimized crystal structure of CeEr3Bi3.

The space group is P6_3/m (No. 176) and the conventional cell measures 9.2147, 9.2147 and 5.7808 Å, with angles of 90.00, 90.00 and 120.00 degrees. The asymmetric unit holds Ce at (0.3333, 0.6667, 0.2500), Er at (0.0187, 0.7750, 0.2500) and Bi at (0.0657, 0.6360, 0.7500).

The value obtained for the energy of formation from the pure elements is -3.99 eV/f.u. Its final energy is -35.3 eV/f.u.